A plane-wave DFT calculation with PBE-GGA was carried out for SiTe2S after structural relaxation.

```
SiTe2S
1.0
-0.316 -4.483 2.103
-2.707 -3.562 -2.146
2.244 -3.892 -2.106
Si Te S
1 2 1
Cartesian
0.000 0.000 0.000 Si
-0.585 -8.953 -1.612 Te
-0.195 -2.984 -0.537 Te
-0.390 -5.969 -1.075 S
```

Values from the calculation:
- energy relative to the lowest polymorph listed for this composition (meV/atom) = 234.4
- energy relative to the elements, uncorrected (meV/atom) = 544
- DOS at the Fermi energy (states/eV/f.u.) = 2.7

A plane-wave DFT calculation with PBE-GGA was carried out for SiTe2S after structural relaxation.

```
SiTe2S
1.0
-4.486 2.863 6.726
-0.712 3.199 7.926
-2.330 6.023 5.644
Te Si S
2 1 1
Cartesian
-6.760 10.853 18.226 Te
-0.768 1.232 2.070 Te
-3.764 6.043 10.148 Si
0.000 0.000 0.000 S
```

Values from the calculation:
- energy relative to the lowest polymorph listed for this composition (meV/atom) = 0.0
- energy relative to the elements, uncorrected (meV/atom) = 309
- DOS at the Fermi energy (states/eV/f.u.) = 2.6

A plane-wave DFT calculation with PBE-GGA was carried out for SiTeS2 after structural relaxation.

```
SiTeS2
1.0
-5.477 5.477 2.785
5.477 -5.477 2.785
5.477 5.477 -2.785
Te S Si
2 4 2
Cartesian
0.000 0.000 2.785 Te
0.000 0.000 0.000 Te
-1.154 4.323 2.785 S
4.323 1.154 2.785 S
6.632 1.154 0.000 S
1.154 4.323 0.000 S
5.477 0.000 1.393 Si
0.000 5.477 1.393 Si
```

Values from the calculation:
- energy relative to the lowest polymorph listed for this composition (meV/atom) = 0.0
- energy relative to the elements, uncorrected (meV/atom) = -345
- DOS at the Fermi energy (states/eV/f.u.) = 1.4

A plane-wave DFT calculation with PBE-GGA was carried out for SiTeS after structural relaxation.

```
SiTeS
1.0
-1.597 -2.768 -1.554
-0.747 -2.884 5.899
-7.741 1.820 0.961
Si S Te
2 2 2
Cartesian
-2.772 -2.631 0.175 Si
-7.328 -0.624 5.331 Si
-2.854 -0.421 0.461 S
-7.089 -2.225 3.797 S
-8.197 -1.409 0.262 Te
-3.325 -3.935 2.293 Te
```

Values from the calculation:
- energy relative to the lowest polymorph listed for this composition (meV/atom) = 140.5
- energy relative to the elements, uncorrected (meV/atom) = -199
- DOS at the Fermi energy (states/eV/f.u.) = 0.2

A plane-wave DFT calculation with PBE-GGA was carried out for Si2TeS after structural relaxation.

```
Si2TeS
1.0
0.000 3.382 3.382
3.382 0.000 3.382
3.382 3.382 0.000
Si S Te
2 1 1
Cartesian
5.072 5.072 5.072 Si
1.691 1.691 1.691 Si
0.000 0.000 0.000 S
3.382 3.382 3.382 Te
```

Values from the calculation:
- energy relative to the lowest polymorph listed for this composition (meV/atom) = 223.3
- energy relative to the elements, uncorrected (meV/atom) = 566
- DOS at the Fermi energy (states/eV/f.u.) = 2.1

A plane-wave DFT calculation with PBE-GGA was carried out for SiTeS after structural relaxation.

```
SiTeS
1.0
-0.309 6.833 4.250
1.463 -4.146 6.773
5.695 2.182 -3.094
S Si Te
4 4 4
Cartesian
3.044 4.634 2.172 S
6.736 -0.504 3.071 S
0.113 5.373 4.858 S
3.806 0.236 5.756 S
3.592 3.429 0.463 Si
3.258 1.440 7.465 Si
6.028 4.233 6.977 Si
0.821 0.636 0.951 Si
6.439 3.347 4.652 Te
3.515 3.939 7.246 Te
0.411 1.523 3.277 Te
3.334 0.930 0.682 Te
```

Values from the calculation:
- energy relative to the lowest polymorph listed for this composition (meV/atom) = 0.0
- energy relative to the elements, uncorrected (meV/atom) = -340
- DOS at the Fermi energy (states/eV/f.u.) = 0.0

A plane-wave DFT calculation with PBE-GGA was carried out for SiTeS after structural relaxation.

```
SiTeS
1.0
-3.199 -0.516 0.097
2.155 -3.315 -0.854
0.501 -1.306 6.679
Te Si S
1 1 1
Cartesian
-0.953 -1.172 3.564 Te
1.014 -2.922 4.821 Si
-0.436 -3.872 6.127 S
```

Values from the calculation:
- energy relative to the lowest polymorph listed for this composition (meV/atom) = 184.0
- energy relative to the elements, uncorrected (meV/atom) = -156
- DOS at the Fermi energy (states/eV/f.u.) = 0.8

A plane-wave DFT calculation with PBE-GGA was carried out for SiTe2S after structural relaxation.

```
SiTe2S
1.0
-0.801 -3.876 -5.997
-1.855 -5.714 3.941
-5.500 -3.592 -1.247
Te Si S
4 2 2
Cartesian
-2.652 -5.035 1.276 Te
-6.411 -10.965 -2.817 Te
-5.161 -6.411 -1.623 Te
-2.091 -3.953 -3.441 Te
-4.342 -7.051 0.833 Si
-1.328 -4.795 -1.028 Si
0.000 0.000 0.000 S
-3.815 -6.132 -4.136 S
```

Values from the calculation:
- energy relative to the lowest polymorph listed for this composition (meV/atom) = 73.0
- energy relative to the elements, uncorrected (meV/atom) = 382
- DOS at the Fermi energy (states/eV/f.u.) = 2.8